This record from Alexandria via LeMat-Bulk describes a geometry-optimized ReRhAu2 structure. The functional is PBE.

## Properties
E_form: 108 meV/atom
Excess energy over the best structure of this formula in the dataset: 0 meV per atom
Energy: -6.481 eV/atom
Symmetry: P4mm (99)
M_tot: 0.00 μB per cell
DOS(E_F): 2.83 states/eV/f.u.

```
ReRhAu2
1.0
2.812 0.000 0.000
0.000 2.812 0.000
0.000 0.000 8.213
Re Rh Au
1 1 2
direct
0.000 0.000 0.000
0.500 0.500 0.208
0.000 0.000 0.471
0.500 0.500 0.744
```